Entry from Alexandria: a relaxed MnPHO2 crystal (GGA+U).

Values from the calculation:
Calculated total energy in eV/atom: -5.12

Cell and atoms, written as POSCAR:
```
MnPHO2
1.0
-3.136 -0.229 -2.585
2.407 -1.772 -2.763
-0.700 -2.642 1.084
P Mn O H
1 1 2 1
Direct
0.000 0.000 0.500
0.500 0.500 0.500
0.000 0.500 0.000
0.500 0.000 0.000
0.000 0.000 0.000
```